No. 1
The following is a PBE-GGA calculation of an optimized crystal structure of SrLi2MgPd, from Alexandria.

```
5
Lattice="4.997 0.000 0.000 0.000 4.997 0.000 0.000 0.000 5.085" Properties=species:S:1:pos:R:3 pbc="T T T"
Pd 0.000 0.000 0.000
Li 0.000 2.498 0.000
Li 2.498 0.000 0.000
Sr 2.498 2.498 2.542
Mg 0.000 0.000 2.542
```

Calculated values
The calculation puts the formation energy at -199 meV/atom. Its density of states at the Fermi level is 2.6 states/eV per cell.

=====

No. 2
The following is a PBE-GGA calculation of an optimized crystal structure of SrAcPm2S4, from Alexandria.

```
8
Lattice="4.126 0.000 0.000 0.000 7.231 -0.177 0.000 2.514 6.739" Properties=species:S:1:pos:R:3 pbc="T T T"
Ac 2.063 6.130 6.650
S 2.063 6.142 1.537
S 0.000 7.393 4.859
S 2.063 3.603 5.024
S 4.126 2.353 1.703
Pm 2.063 1.257 3.369
Pm 0.000 2.514 6.739
Sr 0.000 4.873 3.281
```

Calculated values
The value obtained for the uncorrected formation energy is -195.6 kJ per mole of atoms. Its density of states at the Fermi level is 3.2 states/eV per cell.

=====

No. 3
The following is a PBE-GGA calculation of an optimized crystal structure of Pm2Al4GePt3, from Alexandria.

```
10
Lattice="4.325 0.000 0.000 0.000 4.325 0.000 0.000 0.000 10.327" Properties=species:S:1:pos:R:3 pbc="T T T"
Pt 0.000 0.000 5.163
Pt 0.000 2.163 1.320
Pt 2.163 0.000 9.007
Al 0.000 0.000 0.000
Al 2.163 2.163 0.000
Al 2.163 0.000 6.572
Al 0.000 2.163 3.755
Pm 0.000 2.163 7.740
Pm 2.163 0.000 2.587
Ge 2.163 2.163 5.163
```

Calculated values
The calculation puts the formation energy at -984 meV/atom. Its density of states at the Fermi level is 7.0 states/eV per cell.